# 1
This record from Alexandria describes a relaxed structure of AgPbSe2O6. The functional is GGA-PBE.

Output
E_form (uncorrected)	-755	meV per atom
space-group type	C2/c, No. 15
total energy	-5.0826	eV/atom
density of states at the Fermi level	1.976	states/eV/f.u.
crystal system	monoclinic
spin magnetization	1.0	μB per formula unit

Lattice parameters (Å, degrees): 7.224 7.224 8.835 111.64 111.64 106.31
Sites, in units of the cell vectors:
Ag 0.160 0.840 0.250
Ag 0.840 0.160 0.750
Pb 0.525 0.475 0.250
Pb 0.475 0.525 0.750
Se 0.343 0.999 0.714
Se 0.001 0.657 0.786
Se 0.657 0.001 0.286
Se 0.999 0.343 0.214
O 0.957 0.579 0.284
O 0.421 0.043 0.216
O 0.043 0.421 0.716
O 0.579 0.957 0.784
O 0.091 0.352 0.057
O 0.648 0.909 0.443
O 0.909 0.648 0.943
O 0.352 0.091 0.557
O 0.259 0.427 0.398
O 0.573 0.741 0.102
O 0.741 0.573 0.602
O 0.427 0.259 0.898



# 2
This record from Alexandria describes a relaxed structure of AgPbSe2O8. The functional is GGA-PBE.

Output
E_form (uncorrected)	-568	meV per atom
space-group type	R32, No. 155
total energy	-5.0006	eV/atom
density of states at the Fermi level	6.211	states/eV/f.u.
crystal system	trigonal
spin magnetization	1.1	μB per formula unit

Lattice parameters (Å, degrees): 5.132 5.132 8.343 72.09 72.09 60.00
Sites, in units of the cell vectors:
Ag 0.500 0.500 0.500
Pb 0.000 0.000 0.000
Se 0.748 0.748 0.757
Se 0.252 0.252 0.243
O 0.676 0.676 0.973
O 0.324 0.324 0.027
O 0.552 0.214 0.307
O 0.786 0.448 0.693
O 0.073 0.786 0.693
O 0.214 0.927 0.307
O 0.927 0.552 0.307
O 0.448 0.073 0.693



# 3
This record from Alexandria describes a relaxed structure of Ag2PbSeO4. The functional is GGA-PBE.

Output
E_form (uncorrected)	-365	meV per atom
space-group type	C2/c, No. 15
total energy	-4.4557	eV/atom
density of states at the Fermi level	5.399	states/eV/f.u.
crystal system	monoclinic
spin magnetization	0.0	μB per formula unit

Lattice parameters (Å, degrees): 6.987 6.987 7.189 110.73 110.73 107.82
Sites, in units of the cell vectors:
Ag 0.500 0.000 0.000
Ag 0.500 0.000 0.500
Ag 0.000 0.000 0.500
Ag 0.500 0.500 0.000
Pb 0.000 0.500 0.000
Pb 0.000 0.500 0.500
Se 0.500 0.500 0.500
Se 0.000 0.000 0.000
O 0.152 0.816 0.906
O 0.684 0.348 0.594
O 0.316 0.652 0.406
O 0.848 0.184 0.094
O 0.921 0.830 0.151
O 0.670 0.579 0.349
O 0.330 0.421 0.651
O 0.079 0.170 0.849



# 4
This record from Alexandria describes a relaxed structure of AgPbSeO4. The functional is GGA-PBE.

Output
E_form (uncorrected)	-593	meV per atom
space-group type	Imma, No. 74
total energy	-4.8608	eV/atom
density of states at the Fermi level	0.755	states/eV/f.u.
crystal system	orthorhombic
spin magnetization	0.0	μB per formula unit

Lattice parameters (Å, degrees): 6.596 6.811 6.811 67.44 61.04 61.04
Sites, in units of the cell vectors:
Ag 0.500 0.000 0.500
Ag 0.000 0.000 0.500
Pb 0.000 0.000 0.000
Pb 0.000 0.500 0.500
Se 0.621 0.629 0.129
Se 0.379 0.371 0.871
O 0.726 0.712 0.837
O 0.274 0.663 0.788
O 0.726 0.337 0.212
O 0.274 0.288 0.163
O 0.292 0.743 0.243
O 0.723 0.743 0.243
O 0.277 0.257 0.757
O 0.708 0.257 0.757



# 5
This record from Alexandria describes a relaxed structure of AgPbSeO5. The functional is GGA-PBE.

Output
E_form (uncorrected)	-629	meV per atom
space-group type	C2/c, No. 15
total energy	-4.9833	eV/atom
crystal system	monoclinic
spin magnetization	0.0	μB per formula unit

Lattice parameters (Å, degrees): 6.226 6.226 8.088 106.91 106.91 98.11
Sites, in units of the cell vectors:
Ag 0.317 0.683 0.250
Ag 0.683 0.317 0.750
Pb 0.000 0.000 0.500
Pb 0.000 0.000 0.000
Se 0.653 0.347 0.250
Se 0.347 0.653 0.750
O 0.084 0.916 0.250
O 0.916 0.084 0.750
O 0.831 0.322 0.127
O 0.169 0.678 0.873
O 0.678 0.169 0.373
O 0.322 0.831 0.627
O 0.706 0.623 0.392
O 0.294 0.377 0.608
O 0.377 0.294 0.108
O 0.623 0.706 0.892



# 6
This record from Alexandria describes a relaxed structure of Sr2Ag2PbO6. The functional is GGA-PBE.

Output
E_form (uncorrected)	-1062	meV per atom
space-group type	R-3m, No. 166
total energy	-4.9281	eV/atom
density of states at the Fermi level	5.366	states/eV/f.u.
crystal system	trigonal
spin magnetization	2.0	μB per formula unit

Lattice parameters (Å, degrees): 6.332 6.332 6.711 61.85 61.85 60.00
Sites, in units of the cell vectors:
Sr 0.795 0.795 0.616
Sr 0.205 0.205 0.384
Ag 0.413 0.413 0.761
Ag 0.587 0.587 0.239
Pb 0.000 0.000 0.000
O 0.765 0.765 0.272
O 0.198 0.765 0.272
O 0.765 0.198 0.272
O 0.235 0.802 0.728
O 0.802 0.235 0.728
O 0.235 0.235 0.728



# 7
This record from Alexandria describes a relaxed structure of Sr2AgPb3O8. The functional is GGA-PBE.

Output
E_form (uncorrected)	-1364	meV per atom
space-group type	R3m, No. 160
total energy	-5.4359	eV/atom
density of states at the Fermi level	2.267	states/eV/f.u.
crystal system	trigonal
spin magnetization	0.0	μB per formula unit

Lattice parameters (Å, degrees): 6.954 6.954 7.136 60.84 60.84 60.00
Sites, in units of the cell vectors:
Sr 0.118 0.118 0.646
Sr 0.501 0.501 0.498
Ag 0.879 0.879 0.364
Pb 0.499 0.998 0.003
Pb 0.998 0.499 0.003
Pb 0.499 0.499 0.003
O 0.264 0.264 0.209
O 0.735 0.735 0.794
O 0.253 0.253 0.796
O 0.698 0.253 0.796
O 0.253 0.698 0.796
O 0.751 0.294 0.204
O 0.294 0.751 0.204
O 0.751 0.751 0.204



# 8
This record from Alexandria describes a relaxed structure of Sr3Ag2PbO6. The functional is GGA-PBE.

Output
E_form (uncorrected)	-1396	meV per atom
space-group type	P-3m1, No. 164
total energy	-5.0795	eV/atom
density of states at the Fermi level	3.791	states/eV/f.u.
crystal system	trigonal
spin magnetization	0.0	μB per formula unit

Lattice parameters (Å, degrees): 6.166 6.166 6.455 90.00 90.00 120.00
Sites, in units of the cell vectors:
Sr 0.333 0.667 0.578
Sr 0.667 0.333 0.422
Sr 0.000 0.000 0.000
Ag 0.667 0.333 0.915
Ag 0.333 0.667 0.085
Pb 0.000 0.000 0.500
O 0.668 0.834 0.299
O 0.166 0.332 0.299
O 0.166 0.834 0.299
O 0.834 0.668 0.701
O 0.332 0.166 0.701
O 0.834 0.166 0.701